P:
Material: Mo2BrF
Method: DFT, GGA+U
State: relaxed

Geometry as POSCAR:
```
Mo2BrF
1.0
0.000 3.531 3.531
3.531 0.000 3.531
3.531 3.531 0.000
Mo Br F
2 1 1
Cartesian
1.766 1.766 1.766 Mo
5.297 5.297 5.297 Mo
3.531 3.531 3.531 Br
0.000 0.000 0.000 F
```

## Properties
- magnetization (μB/f.u.) = 10.00
- ρ (Mg/m³) = 5.5


Q:
Material: Mo2BrF
Method: DFT, GGA+U
State: relaxed

Geometry as POSCAR:
```
Mo2BrF
1.0
5.715 0.000 0.000
0.000 5.715 0.000
2.857 2.857 6.947
Br Mo F
2 4 2
Cartesian
0.000 0.000 0.000 Br
5.715 2.857 3.473 Br
3.874 1.429 1.737 Mo
7.144 6.731 5.210 Mo
4.286 4.698 5.210 Mo
1.841 4.286 1.737 Mo
2.857 2.857 0.000 F
2.857 5.715 3.473 F
```

## Properties
- magnetization (μB/f.u.) = 10.00
- ρ (Mg/m³) = 4.3


Relative energies, meV per atom: P 99; Q 0.


P:
Material: MoBrF3
Method: DFT, GGA+U
State: relaxed

Geometry as POSCAR:
```
MoBrF3
1.0
5.085 1.030 0.000
-0.823 4.050 0.000
0.000 0.000 9.685
F Br Mo
6 2 2
Cartesian
3.169 3.889 7.264 F
0.707 3.091 4.327 F
3.556 1.989 5.359 F
1.094 1.192 2.421 F
3.556 1.989 9.169 F
0.707 3.091 0.516 F
1.134 0.877 7.264 Br
3.129 4.204 2.421 Br
3.582 1.855 7.264 Mo
0.680 3.225 2.421 Mo
```

## Properties
- magnetization (μB/f.u.) = 2.00
- ρ (Mg/m³) = 3.7


Q:
Material: MoBrF3
Method: DFT, GGA+U
State: relaxed

Geometry as POSCAR:
```
MoBrF3
1.0
4.298 0.000 0.000
0.000 4.298 0.000
0.000 0.000 4.298
Mo F Br
1 3 1
Cartesian
0.000 0.000 0.000 Mo
0.000 2.149 0.000 F
2.149 0.000 0.000 F
0.000 0.000 2.149 F
2.149 2.149 2.149 Br
```

## Properties
- magnetization (μB/f.u.) = 2.00
- ρ (Mg/m³) = 4.9


Relative energies, meV per atom: P 0; Q 175.


P:
Material: MoBrN2F
Method: DFT, GGA+U
State: relaxed

Geometry as POSCAR:
```
MoBrN2F
1.0
4.112 0.000 0.000
0.000 4.112 0.000
0.000 0.000 4.168
F Br Mo N
1 1 1 2
Cartesian
0.000 0.000 2.084 F
0.000 0.000 0.000 Br
2.056 2.056 2.084 Mo
0.000 2.056 0.000 N
2.056 0.000 0.000 N
```

## Properties
- magnetization (μB/f.u.) = 3.39
- ρ (Mg/m³) = 5.3


Q:
Material: MoBrN2F
Method: DFT, GGA+U
State: relaxed

Geometry as POSCAR:
```
MoBrN2F
1.0
-3.020 2.555 -1.164
0.188 -1.522 -3.828
-2.855 -2.912 1.017
F Mo Br N
1 1 1 2
Cartesian
-1.428 -1.456 0.509 F
0.000 0.000 0.000 Mo
-2.844 -0.940 -1.987 Br
-1.510 1.277 -0.582 N
0.094 -0.761 -1.914 N
```

## Properties
- magnetization (μB/f.u.) = 0.14
- ρ (Mg/m³) = 5.2


Relative energies, meV per atom: P 1285; Q 0.